This record from Alexandria via LeMat-Bulk describes Na3CoPCO7 after structural relaxation. The functional is PBE+U.

Calculated values
total DFT energy (no corrections) = -6.349 eV per atom
volume = 315 Å³/cell
offset from the most stable computed form = 15.6 meV per atom
density of states at the Fermi level = 0.00 states/eV per cell
SG = P2_1 (4)

a = 8.9524 Å, b = 5.3254 Å, c = 6.6177 Å
α = 90.00°, β = 90.00°, γ = 89.62°
Last column: nearest neighbours and their distance in Å.
Positions (direct):
O 0.3613 0.6938 0.2358  1 P 1.54
O 0.7451 0.9239 0.9241  1 P 1.57
O 0.6388 0.3062 0.7358  1 P 1.54
O 0.2985 0.4352 0.7354  1 C 1.29
O 0.1205 0.7382 0.7336  1 C 1.31
O 0.2521 0.0752 0.0498  1 P 1.57
O 0.0562 0.3288 0.7384  1 C 1.31
O 0.9438 0.6712 0.2384  1 C 1.31
O 0.8795 0.2618 0.2336  1 C 1.31
O 0.7479 0.9249 0.5498  1 P 1.57
O 0.7015 0.5648 0.2355  1 C 1.29
O 0.4989 0.8878 0.7311  1 P 1.56
O 0.2549 0.0761 0.4241  1 P 1.57
O 0.5011 0.1122 0.2311  1 P 1.56
Na 0.8362 0.5616 0.7360  4 O 2.24-2.43
Na 0.1638 0.4384 0.2359  4 O 2.24-2.43
Na 0.9979 0.9993 0.9866  6 O 2.34-2.46
Na 0.0021 0.0007 0.4866  6 O 2.34-2.46
Na 0.5021 0.4984 0.9886  4 O 2.31-2.50
Na 0.4979 0.5016 0.4886  4 O 2.31-2.50
P 0.6543 0.0189 0.7366  4 O 1.54-1.57
P 0.3457 0.9811 0.2366  4 O 1.54-1.57
Co 0.7090 0.9658 0.2425  5 O 2.01-2.20
Co 0.2910 0.0342 0.7425  5 O 2.01-2.20
C 0.1596 0.5005 0.7360  3 O 1.29-1.31
C 0.8404 0.4995 0.2360  3 O 1.29-1.31